RbNa2PaF8 | PBE | optimized geometry

Values from the calculation:
The total energy is -5.492 eV per atom. The calculated volume is 20.6 Å³/atom.

abc: 5.7140 5.7140 8.7271
angles: 90.00 90.00 120.00
Fractional positions:
Rb1 0.0000 0.0000 0.0000
Na1 0.3333 0.6667 0.1714
Na2 0.6667 0.3333 0.8286
Pa1 0.0000 0.0000 0.5000
F1 0.1659 0.3318 0.3488
F2 0.1659 0.8341 0.3488
F3 0.3318 0.1659 0.6512
F4 0.3333 0.6667 0.9300
F5 0.6667 0.3333 0.0700
F6 0.6682 0.8341 0.3488
F7 0.8341 0.1659 0.6512
F8 0.8341 0.6682 0.6512